Record 1
Material: MgOsAu2
Method: DFT, PBEsol
State: optimized geometry

abc: 4.5174 4.5174 3.1337
angles: 90.00 90.00 90.00
Last column: nearest neighbours and their distance in Å.
Space group P4/mmm (No. 123)
One atom of each set of equivalent atoms:
Mg 0.0000 0.0000 0.0000 x1  8 Au 2.75
Os 0.5000 0.5000 0.0000 x1  8 Au 2.75
Au 0.0000 0.5000 0.5000 x2  4 Os 2.75, 4 Mg 2.75

Output
Crystal system: tetragonal
Formation energy from the elements in meV/atom: 114

Record 2
Material: MgOsAu3
Method: DFT, PBEsol
State: optimized geometry

abc: 4.5750 4.5750 4.5750
angles: 90.00 90.00 90.00
Last column: nearest neighbours and their distance in Å.
Space group Pm-3m (No. 221)
One atom of each set of equivalent atoms:
Mg 0.0000 0.0000 0.0000 x1  6 Au 2.29
Os 0.5000 0.5000 0.5000 x1  12 Au 3.24
Au 0.0000 0.0000 0.5000 x3  2 Mg 2.29

Output
Crystal system: cubic
Polymorph energy (0 for the lowest one) in eV/atom: 0.468
Formation energy from the elements in meV/atom: 1535

Record 3
Material: MgOsAu2
Method: DFT, PBEsol
State: optimized geometry

abc: 6.3721 6.3721 6.3721
angles: 90.00 90.00 90.00
Last column: nearest neighbours and their distance in Å.
Space group Fm-3m (No. 225)
One atom of each set of equivalent atoms:
Mg 0.0000 0.0000 0.0000 x4  8 Au 2.76
Os 0.0000 0.0000 0.5000 x4  8 Au 2.76
Au 0.2500 0.2500 0.2500 x8  4 Os 2.76, 4 Mg 2.76

Output
Crystal system: cubic
Formation energy from the elements in meV/atom: 283

Record 4
Material: MgOs2Au
Method: DFT, PBEsol
State: optimized geometry

abc: 2.6780 2.6780 8.5518
angles: 90.00 90.00 90.00
Last column: nearest neighbours and their distance in Å.
Space group P4/mmm (No. 123)
One atom of each set of equivalent atoms:
Mg 0.0000 0.0000 0.0000 x1  4 Mg 2.68, 8 Os 2.85
Os 0.5000 0.5000 0.2493 x2  4 Os 2.68, 4 Mg 2.85, 4 Au 2.86
Au 0.0000 0.0000 0.5000 x1  4 Au 2.68, 8 Os 2.86

Output
Crystal system: tetragonal
Formation energy from the elements in meV/atom: 593

Record 5
Material: MgPOs2Au
Method: DFT, PBEsol
State: optimized geometry

abc: 4.8162 4.8162 4.6387
angles: 90.00 90.00 90.00
Last column: nearest neighbours and their distance in Å.
Space group P4/mmm (No. 123)
One atom of each set of equivalent atoms:
Mg 0.0000 0.0000 0.0000 x1  2 Au 2.32
P 0.5000 0.5000 0.0000 x1  8 Os 3.34, 4 Mg 3.41
Os 0.0000 0.5000 0.5000 x2  2 Au 2.41
Au 0.0000 0.0000 0.5000 x1  2 Mg 2.32, 4 Os 2.41

Output
Crystal system: tetragonal
Formation energy from the elements in meV/atom: 2181

Record 6
Material: MgOsPd2Au
Method: DFT, PBEsol
State: optimized geometry

abc: 4.3965 4.3965 4.6417
angles: 90.00 90.00 90.00
Last column: nearest neighbours and their distance in Å.
Space group P4/mmm (No. 123)
One atom of each set of equivalent atoms:
Mg 0.0000 0.0000 0.0000 x1  4 Pd 2.20, 2 Os 2.32
Os 0.0000 0.0000 0.5000 x1  2 Mg 2.32
Pd 0.0000 0.5000 0.0000 x2  2 Mg 2.20
Au 0.5000 0.5000 0.5000 x1  4 Os 3.11, 8 Pd 3.20

Output
Crystal system: tetragonal
Formation energy from the elements in meV/atom: 1450

Record 7
Material: MgP2Au
Method: DFT, PBEsol
State: optimized geometry

abc: 3.1206 3.1206 7.4069
angles: 90.00 90.00 90.00
Last column: nearest neighbours and their distance in Å.
Space group P4mm (No. 99)
One atom of each set of equivalent atoms:
Mg 0.0000 0.0000 0.0000 x1  1 P 2.59, 4 Au 2.73
P 0.0000 0.0000 0.3492 x1  4 P 2.34, 1 Mg 2.59
P 0.5000 0.5000 0.4524 x1  4 P 2.34, 1 Au 2.46
Au 0.5000 0.5000 0.7840 x1  1 P 2.46, 4 Mg 2.73

Output
Crystal system: tetragonal
Formation energy from the elements in meV/atom: -165

Record 8
Material: Mg2PAu
Method: DFT, PBEsol
State: optimized geometry

abc: 3.7129 3.7129 5.3487
angles: 90.00 90.00 90.00
Last column: nearest neighbours and their distance in Å.
Space group P4mm (No. 99)
One atom of each set of equivalent atoms:
Mg 0.0000 0.0000 0.0000 x1  2 P 2.66-2.69, 4 Au 2.74
Mg 0.5000 0.5000 0.3591 x1  2 Au 2.66-2.69, 4 P 2.73
P 0.0000 0.0000 0.4976 x1  6 Mg 2.66-2.73
Au 0.5000 0.5000 0.8565 x1  6 Mg 2.66-2.74

Output
Crystal system: tetragonal
Formation energy from the elements in meV/atom: -333

Record 9
Material: MgPAu
Method: DFT, PBEsol
State: optimized geometry

abc: 6.8719 6.8719 3.7614
angles: 90.00 90.00 120.00
Last column: nearest neighbours and their distance in Å.
Space group P-62m (No. 189)
One atom of each set of equivalent atoms:
Mg 0.0000 0.6037 0.0000 x3  5 Au 2.72-2.82, 2 P 2.93
P 0.0000 0.2777 0.5000 x3  4 Au 2.50-2.68
Au 0.0000 0.0000 0.0000 x1  6 P 2.68, 3 Mg 2.72
Au 0.3333 0.6667 0.5000 x2  3 P 2.50

Output
Crystal system: hexagonal
Formation energy from the elements in meV/atom: -317

Record 10
Material: MgTlPAu2
Method: DFT, PBEsol
State: optimized geometry

abc: 5.1245 5.1245 5.1107
angles: 90.00 90.00 90.00
Last column: nearest neighbours and their distance in Å.
Space group P4/mmm (No. 123)
One atom of each set of equivalent atoms:
Mg 0.0000 0.0000 0.0000 x1  8 Au 3.62, 4 P 3.62
Tl 0.5000 0.5000 0.5000 x1  2 P 2.56, 4 Au 2.56
P 0.5000 0.5000 0.0000 x1  2 Tl 2.56
Au 0.0000 0.5000 0.5000 x2  2 Tl 2.56

Output
Crystal system: tetragonal
Formation energy from the elements in meV/atom: 835

Record 11
Material: Mg2PbAu
Method: DFT, PBEsol
State: optimized geometry

abc: 9.1503 3.4466 5.6245
angles: 90.00 103.22 90.00
Last column: nearest neighbours and their distance in Å.
Space group C2/m (No. 12)
One atom of each set of equivalent atoms:
Mg 0.2359 0.0000 0.2155 x4  3 Au 2.81-2.94, 3 Pb 2.97-3.10, 2 Mg 3.03
Pb 0.0000 0.0000 0.5000 x2  6 Mg 2.97-3.10, 4 Au 3.30
Au 0.0000 0.5000 0.0000 x2  6 Mg 2.81-2.94

Output
Crystal system: monoclinic
Formation energy from the elements in meV/atom: -228

Record 12
Material: MgPbAu3
Method: DFT, PBEsol
State: optimized geometry

abc: 4.8969 4.8969 4.8969
angles: 90.00 90.00 90.00
Last column: nearest neighbours and their distance in Å.
Space group Pm-3m (No. 221)
One atom of each set of equivalent atoms:
Mg 0.0000 0.0000 0.0000 x1  6 Au 2.45
Pb 0.5000 0.5000 0.5000 x1  12 Au 3.46
Au 0.0000 0.0000 0.5000 x3  2 Mg 2.45

Output
Crystal system: cubic
Formation energy from the elements in meV/atom: 321

Record 13
Material: MgPb3Au
Method: DFT, PBEsol
State: optimized geometry

abc: 5.4979 5.4979 5.4979
angles: 90.00 90.00 90.00
Last column: nearest neighbours and their distance in Å.
Space group Pm-3m (No. 221)
One atom of each set of equivalent atoms:
Mg 0.0000 0.0000 0.0000 x1  12 Pb 3.89
Pb 0.0000 0.5000 0.5000 x3  2 Au 2.75
Au 0.5000 0.5000 0.5000 x1  6 Pb 2.75

Output
Crystal system: cubic
Formation energy from the elements in meV/atom: 338

Record 14
Material: Mg2PbAu
Method: DFT, PBEsol
State: optimized geometry

abc: 3.3256 3.3256 7.7084
angles: 90.00 90.00 90.00
Last column: nearest neighbours and their distance in Å.
Space group P4/mmm (No. 123)
One atom of each set of equivalent atoms:
Mg 0.0000 0.0000 0.2006 x2  4 Au 2.81, 1 Mg 3.09
Pb 0.5000 0.5000 0.5000 x1  8 Mg 3.29, 4 Pb 3.33
Au 0.5000 0.5000 0.0000 x1  8 Mg 2.81

Output
Crystal system: tetragonal
Formation energy from the elements in meV/atom: -348

One value per record, in order, for magnetic moment: 0.000; 0.234; 0.000; 0.000; 0.278; 0.360; 0.000; 0.000; 0.000; 0.000; 0.000; 0.000; 0.000; 0.000 μB/atom.
One value per record, in order, for Fermi-level density of states: 1.973; 2.384; 5.317; 4.504; 6.728; 6.374; 1.063; 0.771; 0.826; 2.712; 1.362; 1.888; 2.708; 1.130 states/eV/f.u..
One value per record, in order, for VASP energy: -5.331; -3.606; -5.162; -6.926; -4.992; -4.505; -4.471; -3.620; -4.128; -2.762; -3.067; -3.177; -3.189; -3.187 eV/atom.